1.
Material: CsBaMoS2
Method: DFT, PBE-GGA
State: optimized geometry

Cell: 6.022 6.022 6.460 Å, 90.00 90.00 90.00°
Fractional coordinates of all 5 atoms:
Cs 0.000 0.000 0.000
Ba 0.500 0.500 0.500
Mo 0.500 0.500 0.000
S 0.000 0.500 0.500
S 0.500 0.000 0.500

Output
- uncorrected energy (eV/cell) = -19.2
- calculated volume (A^3/atom) = 46.86
- magnetization (μB/cell) = 6.926
- raw formation energy (meV per atom) = 538

---

2.
Material: Cs2BaMoS4
Method: DFT, PBE-GGA
State: optimized geometry

Cell: 7.408 7.408 7.408 Å, 113.75 113.75 101.23°
Fractional coordinates of all 8 atoms:
Cs 0.000 0.000 0.000
Cs 0.750 0.250 0.500
Ba 0.500 0.500 0.000
Mo 0.250 0.750 0.500
S 0.226 0.690 0.159
S 0.310 0.469 0.536
S 0.531 0.067 0.841
S 0.933 0.774 0.464

Output
- uncorrected energy (eV/cell) = -39.5
- calculated volume (A^3/atom) = 38.53
- magnetization (μB/cell) = 2.000
- raw formation energy (meV per atom) = -1065

---

3.
Material: CsBaMoS4
Method: DFT, PBE-GGA
State: optimized geometry

Cell: 7.315 6.964 9.724 Å, 90.00 106.65 90.00°
Fractional coordinates of all 14 atoms:
Cs 0.218 0.250 0.434
Cs 0.782 0.750 0.566
Ba 0.260 0.250 0.951
Ba 0.740 0.750 0.049
Mo 0.295 0.750 0.186
Mo 0.705 0.250 0.814
S 0.101 0.750 0.328
S 0.128 0.750 0.952
S 0.491 0.004 0.226
S 0.491 0.496 0.226
S 0.509 0.504 0.774
S 0.509 0.996 0.774
S 0.872 0.250 0.048
S 0.899 0.250 0.672

Output
- uncorrected energy (eV/cell) = -76.9
- calculated volume (A^3/atom) = 33.90
- magnetization (μB/cell) = 2.019
- raw formation energy (meV per atom) = -1190

---

4.
Material: CsBaN2
Method: DFT, PBE-GGA
State: optimized geometry

Cell: 7.710 7.710 7.710 Å, 32.24 32.24 32.24°
Fractional coordinates of all 4 atoms:
Cs 0.000 0.000 0.000
Ba 0.500 0.500 0.500
N 0.103 0.103 0.103
N 0.897 0.897 0.897

Output
- excess energy over the best structure of this formula in the dataset (eV/atom) = 0.063
- uncorrected energy (eV/cell) = -15.9
- calculated volume (A^3/atom) = 28.98
- magnetization (μB/cell) = 1.000
- raw formation energy (meV per atom) = 881

---

5.
Material: CsBa3N
Method: DFT, PBE-GGA
State: optimized geometry

Cell: 6.327 6.327 6.327 Å, 90.00 90.00 90.00°
Fractional coordinates of all 5 atoms:
Cs 0.000 0.000 0.000
Ba 0.000 0.000 0.500
Ba 0.000 0.500 0.000
Ba 0.500 0.000 0.000
N 0.500 0.500 0.500

Output
- excess energy over the best structure of this formula in the dataset (eV/atom) = 1.673
- uncorrected energy (eV/cell) = -6.2
- calculated volume (A^3/atom) = 50.65
- magnetization (μB/cell) = 0.031
- raw formation energy (meV per atom) = 1752

---

6.
Material: Cs3BaN8
Method: DFT, PBE-GGA
State: optimized geometry

Cell: 7.598 7.598 7.598 Å, 111.15 111.15 106.16°
Fractional coordinates of all 12 atoms:
Cs 0.000 0.000 0.000
Cs 0.250 0.750 0.500
Cs 0.750 0.250 0.500
Ba 0.500 0.500 0.000
N 0.112 0.112 0.494
N 0.144 0.144 0.671
N 0.383 0.888 0.000
N 0.473 0.473 0.329
N 0.527 0.856 0.000
N 0.617 0.617 0.506
N 0.856 0.527 0.000
N 0.888 0.383 0.000

Output
- uncorrected energy (eV/cell) = -72.0
- calculated volume (A^3/atom) = 28.07
- magnetization (μB/cell) = 0.000
- raw formation energy (meV per atom) = -80

---

7.
Material: CsBaN2
Method: DFT, PBE-GGA
State: optimized geometry

Cell: 7.009 7.009 7.009 Å, 116.23 116.23 96.67°
Fractional coordinates of all 8 atoms:
Cs 0.000 0.000 0.000
Cs 0.750 0.250 0.500
Ba 0.250 0.750 0.500
Ba 0.500 0.500 0.000
N 0.185 0.625 0.060
N 0.375 0.435 0.560
N 0.565 0.125 0.940
N 0.875 0.815 0.440

Output
- excess energy over the best structure of this formula in the dataset (eV/atom) = 0.000
- uncorrected energy (eV/cell) = -32.3
- calculated volume (A^3/atom) = 31.93
- magnetization (μB/cell) = 6.000
- raw formation energy (meV per atom) = 818

---

8.
Material: CsBa3N
Method: DFT, PBE-GGA
State: optimized geometry

Cell: 6.017 6.017 6.017 Å, 90.00 90.00 90.00°
Fractional coordinates of all 5 atoms:
Cs 0.000 0.000 0.000
Ba 0.000 0.500 0.500
Ba 0.500 0.000 0.500
Ba 0.500 0.500 0.000
N 0.500 0.500 0.500

Output
- excess energy over the best structure of this formula in the dataset (eV/atom) = 0.000
- uncorrected energy (eV/cell) = -14.6
- calculated volume (A^3/atom) = 43.57
- magnetization (μB/cell) = 0.000
- raw formation energy (meV per atom) = 79

---

9.
Material: CsBaNbN3
Method: DFT, PBE-GGA
State: optimized geometry

Cell: 7.299 7.299 6.020 Å, 90.10 90.10 127.56°
Fractional coordinates of all 12 atoms:
Cs 0.246 0.754 0.750
Cs 0.754 0.246 0.250
Ba 0.410 0.590 0.250
Ba 0.590 0.410 0.750
Nb 0.049 0.951 0.250
Nb 0.951 0.049 0.750
N 0.193 0.807 0.250
N 0.210 0.211 0.500
N 0.211 0.210 0.000
N 0.789 0.790 0.000
N 0.790 0.789 0.500
N 0.807 0.193 0.750

Output
- uncorrected energy (eV/cell) = -81.6
- calculated volume (A^3/atom) = 21.19
- magnetization (μB/cell) = 1.862
- raw formation energy (meV per atom) = -500

---

10.
Material: CsBaN2O
Method: DFT, PBE-GGA
State: optimized geometry

Cell: 4.463 4.463 4.662 Å, 90.00 90.00 90.00°
Fractional coordinates of all 5 atoms:
Cs 0.000 0.000 0.000
Ba 0.500 0.500 0.500
N 0.000 0.500 0.000
N 0.500 0.000 0.000
O 0.000 0.000 0.500

Output
- uncorrected energy (eV/cell) = -19.5
- calculated volume (A^3/atom) = 18.57
- magnetization (μB/cell) = 0.000
- raw formation energy (meV per atom) = 972

---

11.
Material: CsBaN2O
Method: DFT, PBE-GGA
State: optimized geometry

Cell: 5.456 5.456 4.937 Å, 90.00 90.00 90.00°
Fractional coordinates of all 5 atoms:
Cs 0.000 0.000 0.000
Ba 0.500 0.500 0.500
N 0.000 0.500 0.500
N 0.500 0.000 0.500
O 0.500 0.500 0.000

Output
- uncorrected energy (eV/cell) = -21.3
- calculated volume (A^3/atom) = 29.39
- magnetization (μB/cell) = 5.011
- raw formation energy (meV per atom) = 622

---

12.
Material: CsBaP2N
Method: DFT, PBE-GGA
State: optimized geometry

Cell: 4.820 4.820 5.207 Å, 90.00 90.00 90.00°
Fractional coordinates of all 5 atoms:
Cs 0.000 0.000 0.000
Ba 0.500 0.500 0.000
P 0.000 0.500 0.500
P 0.500 0.000 0.500
N 0.500 0.500 0.500

Output
- uncorrected energy (eV/cell) = -19.5
- calculated volume (A^3/atom) = 24.19
- magnetization (μB/cell) = 0.000
- raw formation energy (meV per atom) = 487

---

13.
Material: Cs2BaRe2N6
Method: DFT, PBE-GGA
State: optimized geometry

Cell: 6.921 6.921 8.108 Å, 118.75 118.75 59.47°
Fractional coordinates of all 11 atoms:
Cs 0.213 0.213 0.191
Cs 0.787 0.787 0.809
Ba 0.000 0.000 0.500
Re 0.459 0.459 0.805
Re 0.541 0.541 0.195
N 0.255 0.689 0.227
N 0.280 0.280 0.660
N 0.311 0.745 0.773
N 0.689 0.255 0.227
N 0.720 0.720 0.340
N 0.745 0.311 0.773

Output
- uncorrected energy (eV/cell) = -79.4
- calculated volume (A^3/atom) = 25.32
- magnetization (μB/cell) = 2.001
- raw formation energy (meV per atom) = -87

---

14.
Material: CsBaS2N
Method: DFT, PBE-GGA
State: optimized geometry

Cell: 5.762 5.762 4.566 Å, 90.00 90.00 90.00°
Fractional coordinates of all 5 atoms:
Cs 0.000 0.000 0.000
Ba 0.500 0.500 0.500
S 0.000 0.500 0.000
S 0.500 0.000 0.000
N 0.000 0.000 0.500

Output
- excess energy over the best structure of this formula in the dataset (eV/atom) = 0.428
- uncorrected energy (eV/cell) = -16.6
- calculated volume (A^3/atom) = 30.31
- magnetization (μB/cell) = 1.789
- raw formation energy (meV per atom) = 554

---

15.
Material: CsBaS2N
Method: DFT, PBE-GGA
State: optimized geometry

Cell: 6.056 6.056 5.477 Å, 90.00 90.00 90.00°
Fractional coordinates of all 5 atoms:
Cs 0.000 0.000 0.000
Ba 0.500 0.500 0.500
S 0.000 0.500 0.500
S 0.500 0.000 0.500
N 0.500 0.500 0.000

Output
- excess energy over the best structure of this formula in the dataset (eV/atom) = 0.000
- uncorrected energy (eV/cell) = -18.7
- calculated volume (A^3/atom) = 40.17
- magnetization (μB/cell) = 4.028
- raw formation energy (meV per atom) = 126

---

16.
Material: CsBaTaN3
Method: DFT, PBE-GGA
State: optimized geometry

Cell: 7.302 7.302 5.980 Å, 90.10 90.10 127.61°
Fractional coordinates of all 12 atoms:
Cs 0.247 0.753 0.750
Cs 0.753 0.247 0.250
Ba 0.409 0.591 0.250
Ba 0.591 0.409 0.750
Ta 0.047 0.953 0.250
Ta 0.953 0.047 0.750
N 0.192 0.808 0.250
N 0.208 0.209 0.500
N 0.209 0.208 0.000
N 0.791 0.792 0.000
N 0.792 0.791 0.500
N 0.808 0.192 0.750

Output
- uncorrected energy (eV/cell) = -86.4
- calculated volume (A^3/atom) = 21.05
- magnetization (μB/cell) = 1.841
- raw formation energy (meV per atom) = -597

---

17.
Material: Cs2BaTc2N6
Method: DFT, PBE-GGA
State: optimized geometry

Cell: 6.887 6.887 8.070 Å, 118.69 118.69 59.35°
Fractional coordinates of all 11 atoms:
Cs 0.212 0.212 0.190
Cs 0.788 0.788 0.810
Ba 0.000 0.000 0.500
Tc 0.460 0.460 0.804
Tc 0.540 0.540 0.196
N 0.255 0.688 0.226
N 0.281 0.281 0.660
N 0.312 0.745 0.774
N 0.688 0.255 0.226
N 0.719 0.719 0.340
N 0.745 0.312 0.774

Output
- uncorrected energy (eV/cell) = -74.0
- calculated volume (A^3/atom) = 24.95
- magnetization (μB/cell) = 2.000
- raw formation energy (meV per atom) = 30

---

18.
Material: CsBa2Tc2N6
Method: DFT, PBE-GGA
State: optimized geometry

Cell: 6.647 6.858 7.462 Å, 65.39 63.80 67.72°
Fractional coordinates of all 11 atoms:
Cs 0.000 0.000 0.000
Ba 0.263 0.277 0.316
Ba 0.737 0.723 0.684
Tc 0.470 0.669 0.330
Tc 0.530 0.331 0.670
N 0.168 0.721 0.385
N 0.363 0.444 0.883
N 0.437 0.119 0.672
N 0.563 0.881 0.328
N 0.637 0.556 0.117
N 0.832 0.279 0.615

Output
- uncorrected energy (eV/cell) = -77.5
- calculated volume (A^3/atom) = 24.49
- magnetization (μB/cell) = 1.030
- raw formation energy (meV per atom) = -196

---

19.
Material: CsBaTe2N
Method: DFT, PBE-GGA
State: optimized geometry

Cell: 6.511 6.511 4.861 Å, 90.00 90.00 90.00°
Fractional coordinates of all 5 atoms:
Cs 0.000 0.000 0.000
Ba 0.500 0.500 0.500
Te 0.000 0.500 0.000
Te 0.500 0.000 0.000
N 0.000 0.000 0.500

Output
- excess energy over the best structure of this formula in the dataset (eV/atom) = 0.442
- uncorrected energy (eV/cell) = -14.5
- calculated volume (A^3/atom) = 41.21
- magnetization (μB/cell) = 2.283
- raw formation energy (meV per atom) = 572

---

20.
Material: CsBaTeN2
Method: DFT, PBE-GGA
State: optimized geometry

Cell: 4.979 4.979 7.378 Å, 90.00 90.00 90.00°
Fractional coordinates of all 5 atoms:
Cs 0.000 0.000 0.000
Ba 0.500 0.500 0.500
Te 0.000 0.000 0.500
N 0.000 0.500 0.000
N 0.500 0.000 0.000

Output
- excess energy over the best structure of this formula in the dataset (eV/atom) = 0.448
- uncorrected energy (eV/cell) = -16.4
- calculated volume (A^3/atom) = 36.58
- magnetization (μB/cell) = 3.259
- raw formation energy (meV per atom) = 1241